Density functional theory data (GGA-PBE) for a relaxed Sr2AgP2Pd crystal.

Cell lengths 4.2662, 4.2662, 8.7489 Å; angles 90.00, 90.00, 120.00 degrees
Element x y z (fractional)
Sr 0.6667 0.3333 0.7410
Ag 0.0000 0.0000 0.0000
Pd 0.3333 0.6667 0.5000
Sr 0.6667 0.3333 0.2590
P 0.3333 0.6667 0.0000
P 0.0000 0.0000 0.5000

Values from the calculation:
- space group = P-6m2 (187)
- energy (eV per cell) = -27.43